Record 1
La2Al2Ir | PBE-GGA | optimized geometry

Cell lengths 6.7729, 6.7729, 4.9980 Å; angles 90.00, 90.00, 90.00 degrees
Fractional positions:
1 La 0.1675 0.3325 0.0000
2 La 0.3325 0.8325 0.0000
3 La 0.6675 0.1675 0.0000
4 La 0.8325 0.6675 0.0000
5 Al 0.1454 0.6454 0.5000
6 Al 0.3546 0.1454 0.5000
7 Al 0.6454 0.8546 0.5000
8 Al 0.8546 0.3546 0.5000
9 Ir 0.0000 0.0000 0.5000
10 Ir 0.5000 0.5000 0.5000

Properties
Total moment (μB/f.u.): 0.0
ΔE_f (eV/f.u.): -2.30

=====

Record 2
LaAl4Ir | PBE-GGA | optimized geometry

Cell lengths 5.4334, 5.4334, 5.4334 Å; angles 60.00, 60.00, 60.00 degrees
Fractional positions:
1 La 0.0000 0.0000 0.0000
2 Al 0.1243 0.6252 0.6252
3 Al 0.6252 0.1243 0.6252
4 Al 0.6252 0.6252 0.1243
5 Al 0.6252 0.6252 0.6252
6 Ir 0.2500 0.2500 0.2500

Properties
Total moment (μB/f.u.): 0.0
ΔE_f (eV/f.u.): -0.31

=====

Record 3
LaAl6Ir3 | PBE-GGA | optimized geometry

Cell lengths 8.0884, 4.2550, 10.1962 Å; angles 90.00, 93.94, 90.00 degrees
Fractional positions:
1 La 0.0679 0.2500 0.2434
2 La 0.9321 0.7500 0.7566
3 Al 0.0976 0.2500 0.5657
4 Al 0.2096 0.7500 0.0280
5 Al 0.3062 0.7500 0.7402
6 Al 0.3650 0.7500 0.2796
7 Al 0.4180 0.2500 0.4427
8 Al 0.4216 0.2500 0.9116
9 Al 0.5784 0.7500 0.0884
10 Al 0.5820 0.7500 0.5573
11 Al 0.6350 0.2500 0.7204
12 Al 0.6938 0.2500 0.2598
13 Al 0.7904 0.2500 0.9720
14 Al 0.9024 0.7500 0.4343
15 Ir 0.1111 0.2500 0.9182
16 Ir 0.2415 0.7500 0.4965
17 Ir 0.4103 0.2500 0.1559
18 Ir 0.5897 0.7500 0.8441
19 Ir 0.7585 0.2500 0.5035
20 Ir 0.8889 0.7500 0.0818

Properties
Total moment (μB/f.u.): 0.0
ΔE_f (eV/f.u.): -6.98

=====

Record 4
La2AlIr2 | PBE-GGA | optimized geometry

Cell lengths 7.3387, 7.3387, 4.2156 Å; angles 90.00, 90.00, 90.00 degrees
Fractional positions:
1 La 0.1731 0.3269 0.0000
2 La 0.3269 0.8269 0.0000
3 La 0.6731 0.1731 0.0000
4 La 0.8269 0.6731 0.0000
5 Al 0.0000 0.0000 0.5000
6 Al 0.5000 0.5000 0.5000
7 Ir 0.1384 0.6384 0.5000
8 Ir 0.3616 0.1384 0.5000
9 Ir 0.6384 0.8616 0.5000
10 Ir 0.8616 0.3616 0.5000

Properties
Total moment (μB/f.u.): 0.0
ΔE_f (eV/f.u.): -3.18

=====

Record 5
La8AlIr2 | PBE-GGA | optimized geometry

Cell lengths 8.3354, 8.3354, 5.7468 Å; angles 98.28, 98.28, 115.98 degrees
Fractional positions:
1 La 0.0000 0.0000 0.0000
2 La 0.0656 0.3098 0.6402
3 La 0.1517 0.6400 0.1931
4 La 0.3098 0.0656 0.6402
5 La 0.4808 0.7252 0.7462
6 La 0.6400 0.1517 0.1931
7 La 0.7252 0.4808 0.7462
8 La 0.7900 0.7900 0.3855
9 Al 0.3950 0.3950 0.1935
10 Ir 0.1067 0.6837 0.6928
11 Ir 0.6837 0.1067 0.6928

Properties
Total moment (μB/f.u.): 0.0
ΔE_f (eV/f.u.): -3.53

=====

Record 6
La2Al5Ir3 | PBE-GGA | optimized geometry

Cell lengths 8.7166, 8.7166, 8.7166 Å; angles 107.33, 85.83, 140.80 degrees
Fractional positions:
1 La 0.1403 0.2251 0.3655
2 La 0.3597 0.7251 0.0848
3 La 0.6403 0.2749 0.9152
4 La 0.8597 0.7749 0.6345
5 Al 0.0407 0.7500 0.2907
6 Al 0.0883 0.6654 0.7537
7 Al 0.2500 0.2500 0.0000
8 Al 0.4117 0.1654 0.5771
9 Al 0.4593 0.7500 0.7093
10 Al 0.5407 0.2500 0.2907
11 Al 0.5883 0.8346 0.4229
12 Al 0.7500 0.7500 0.0000
13 Al 0.9117 0.3346 0.2463
14 Al 0.9593 0.2500 0.7093
15 Ir 0.1452 0.8993 0.0445
16 Ir 0.2500 0.7500 0.5000
17 Ir 0.3548 0.3993 0.7541
18 Ir 0.6452 0.6007 0.2459
19 Ir 0.7500 0.2500 0.5000
20 Ir 0.8548 0.1007 0.9555

Properties
Total moment (μB/f.u.): 0.0
ΔE_f (eV/f.u.): -8.26

=====

> Which of these has the highest ΔE_f?

LaAl4Ir